No. 1
## CrAgTeN2 (GGA-PBE)

Data for a relaxed structure of CrAgTeN2.

Results
N(E_F) = 0.3628 states/eV/atom
uncorrected formation energy = 0.567 eV per atom
distance to the lowest polymorph of the same formula = 0.000 eV/atom

abc: 3.804 3.804 5.805
angles: 90.00 90.00 90.00
Atoms (fractional coordinates):
Cr 0.000 0.000 0.000
Ag 0.500 0.500 0.500
Te 0.000 0.000 0.500
N 0.000 0.500 0.000
N 0.500 0.000 0.000

No. 2
## TlCr2AgN (GGA-PBE)

Data for a relaxed structure of TlCr2AgN.

Results
N(E_F) = 1.1268 states/eV/atom
uncorrected formation energy = 2.367 eV per atom

abc: 5.220 5.220 5.190
angles: 90.00 90.00 90.00
Atoms (fractional coordinates):
Tl 0.000 0.000 0.000
Cr 0.000 0.500 0.000
Cr 0.500 0.000 0.000
Ag 0.000 0.000 0.500
N 0.500 0.500 0.500